Material: La3Tb2Er
Method: DFT, PBE
State: relaxed

Unit cell a=8.2565 b=8.2565 c=4.9976 alpha=90.00 beta=90.00 gamma=143.00
Closest atoms and distances in Å follow each position.
Sites, in units of the cell vectors:
La  0.0000  0.0000  0.0000  4 Tb 3.61, 4 Er 3.62, 4 La 3.69
La  0.3337  0.6663  0.0000  2 Er 3.61, 6 Tb 3.62, 4 La 3.69-3.71
La  0.6663  0.3337  0.0000  2 Er 3.61, 6 Tb 3.62, 4 La 3.69-3.71
Tb  0.1665  0.8335  0.5000  8 La 3.61-3.62, 2 Er 3.70, 2 Tb 3.70
Tb  0.8335  0.1665  0.5000  8 La 3.61-3.62, 2 Er 3.70, 2 Tb 3.70
Er  0.5000  0.5000  0.5000  8 La 3.61-3.62, 4 Tb 3.70

Summary:
Distance to the lowest polymorph of the same formula, meV/atom: 0.0
E_form, meV/atom: 21

Material: La4Tb3Er4
Method: DFT, PBE
State: relaxed

Unit cell a=18.3254 b=18.3254 c=5.7257 alpha=98.98 beta=98.98 gamma=11.03
Closest atoms and distances in Å follow each position.
Sites, in units of the cell vectors:
La  0.0917  0.0917  0.0916  3 Er 3.25-3.32, 2 La 3.52
La  0.2309  0.2309  0.7307  4 Er 3.37-3.61, 6 La 3.52-3.63
La  0.7691  0.7691  0.2693  4 Er 3.37-3.61, 6 La 3.52-3.63
La  0.9083  0.9083  0.9084  3 Er 3.25-3.32, 2 La 3.52
Tb  0.3638  0.3638  0.3639  2 Tb 3.52, 6 La 3.72-3.84, 6 Er 3.73-3.74
Tb  0.5000  0.5000  0.0000  2 Tb 3.52, 8 Er 3.73, 4 La 3.74
Tb  0.6362  0.6362  0.6361  2 Tb 3.52, 6 La 3.72-3.84, 6 Er 3.73-3.74
Er  0.0448  0.0448  0.5446  3 Er 3.23-3.52, 2 La 3.32
Er  0.1817  0.1817  0.1816  5 La 3.25-3.61, 2 Er 3.52
Er  0.8183  0.8183  0.8184  5 La 3.25-3.61, 2 Er 3.52
Er  0.9552  0.9552  0.4554  3 Er 3.23-3.52, 2 La 3.32

Summary:
Distance to the lowest polymorph of the same formula, meV/atom: 0.0
E_form, meV/atom: 69

Material: La2Tb2Er15
Method: DFT, PBE
State: relaxed

Unit cell a=8.6804 b=8.6804 c=8.6804 alpha=80.18 beta=80.18 gamma=80.18
Closest atoms and distances in Å follow each position.
Sites, in units of the cell vectors:
La  0.1188  0.1188  0.1188  6 Er 3.33-3.61, 1 Tb 3.72
La  0.8812  0.8812  0.8812  6 Er 3.33-3.61, 1 Tb 3.72
Tb  0.3322  0.3322  0.3322  1 La 3.72, 12 Er 3.89-4.14
Tb  0.6678  0.6678  0.6678  1 La 3.72, 12 Er 3.89-4.14
Er  0.0000  0.0000  0.5000  2 La 3.33, 8 Er 3.33-3.38
Er  0.0000  0.3059  0.6941  6 Er 3.26-3.42
Er  0.0000  0.5000  0.0000  2 La 3.33, 8 Er 3.33-3.38
Er  0.0000  0.6941  0.3059  6 Er 3.26-3.42
Er  0.1543  0.6324  0.6324  6 Er 3.23-3.33, 1 La 3.61
Er  0.3059  0.0000  0.6941  6 Er 3.26-3.42
Er  0.3059  0.6941  0.0000  6 Er 3.26-3.42
Er  0.3676  0.3676  0.8457  6 Er 3.23-3.33, 1 La 3.61
Er  0.3676  0.8457  0.3676  6 Er 3.23-3.33, 1 La 3.61
Er  0.5000  0.0000  0.0000  2 La 3.33, 8 Er 3.33-3.38
Er  0.6324  0.1543  0.6324  6 Er 3.23-3.33, 1 La 3.61
Er  0.6324  0.6324  0.1543  6 Er 3.23-3.33, 1 La 3.61
Er  0.6941  0.0000  0.3059  6 Er 3.26-3.42
Er  0.6941  0.3059  0.0000  6 Er 3.26-3.42
Er  0.8457  0.3676  0.3676  6 Er 3.23-3.33, 1 La 3.61

Summary:
E_form, meV/atom: 284

| no. | DFT total energy (eV for the cell shown) |
| --- | --- |
| 1 | -28.48 |
| 2 | -51.09 |
| 3 | -82.15 |